A relaxed Ag2Os crystal, computed with PBE.

Lattice parameters (Å, degrees): 4.420 12.261 3.820 90.00 90.00 90.00
Space group Cmcm (No. 63)
Inequivalent atoms, fractional coordinates:
Ag 0.000 0.088 0.250 (multiplicity 4)
Ag 0.000 0.254 0.750 (multiplicity 4)
Os 0.000 0.440 0.250 (multiplicity 4)

Summary:
Offset from the most stable computed form ... 217 meV/atom
Calculated volume ... 17.25 Å³ per atom
D(E_F) ... 0.79 states/eV per atom
Energy of formation ... 0.669 eV/atom
E ... -4.9752 eV per atom